Cr2Co2Si (PBE-GGA, relaxed); formation energy (no corrections) = 0.393 eV per atom; final energy = -7.38 eV per atom; ΔE to the lowest computed polymorph = 252 meV/atom; total magnetization = 0.35 μB per formula unit
1.0
-1.723 1.723 5.218
1.723 -1.723 5.218
1.723 1.723 -5.218
Cr Co Si
2 2 1
Cartesian
0.000 0.000 1.037
0.000 0.000 9.400
1.723 0.000 2.609
0.000 1.723 2.609
0.000 0.000 5.218

***

CrCo2Si (PBE-GGA, relaxed); formation energy (no corrections) = -0.249 eV per atom; final energy = -7.56 eV per atom; total magnetization = 4.01 μB per formula unit
1.0
3.925 0.000 0.000
0.000 3.925 0.000
0.000 0.000 2.913
Cr Co Si
1 2 1
Cartesian
0.000 0.000 0.000
0.000 1.963 1.457
1.963 0.000 1.457
1.963 1.963 0.000

***

CrCoSi (PBE-GGA, relaxed); formation energy (no corrections) = -0.264 eV per atom; final energy = -7.65 eV per atom; total magnetization = 0.38 μB per formula unit
1.0
5.436 0.000 0.000
0.000 2.853 0.000
0.000 0.000 8.605
Cr Co Si
4 4 4
Cartesian
0.690 0.713 0.648
2.028 2.140 4.951
3.408 0.713 3.655
4.746 2.140 7.957
0.630 0.713 3.424
2.088 2.140 7.727
3.348 0.713 0.879
4.806 2.140 5.181
0.716 0.713 6.502
2.002 2.140 2.199
3.434 0.713 6.406
4.720 2.140 2.104

***

Cr2Co2Si (PBE-GGA, relaxed); formation energy (no corrections) = 0.141 eV per atom; final energy = -7.64 eV per atom; ΔE to the lowest computed polymorph = 0 meV/atom; total magnetization = 2.05 μB per formula unit
1.0
6.640 0.000 0.000
0.000 6.640 0.000
0.000 0.000 2.655
Cr Co Si
4 4 2
Cartesian
1.144 2.176 0.000
2.176 5.496 0.000
4.463 1.144 0.000
5.496 4.463 0.000
0.831 4.150 1.328
2.489 0.831 1.328
4.150 5.809 1.328
5.809 2.489 1.328
0.000 0.000 1.328
3.320 3.320 1.328

***

CrCoSi (PBE-GGA, relaxed); formation energy (no corrections) = -0.366 eV per atom; final energy = -7.75 eV per atom; total magnetization = 0.99 μB per formula unit
1.0
5.743 0.000 0.000
0.000 3.607 0.000
0.000 0.000 6.720
Cr Co Si
4 4 4
Cartesian
0.152 0.902 1.213
2.720 2.705 4.573
3.023 0.902 2.148
5.592 2.705 5.508
0.834 0.902 3.751
2.038 2.705 0.391
3.706 0.902 6.330
4.909 2.705 2.969
1.383 2.705 2.530
1.488 0.902 5.890
4.255 2.705 0.830
4.360 0.902 4.191

***

Cr2CoSi2 (PBE-GGA, relaxed); formation energy (no corrections) = -0.209 eV per atom; final energy = -7.65 eV per atom; total magnetization = 3.39 μB per formula unit
1.0
5.812 0.000 0.000
0.000 5.812 0.000
0.000 0.000 3.621
Cr Co Si
4 2 4
Cartesian
0.947 1.959 0.000
1.959 4.865 0.000
3.853 0.947 0.000
4.865 3.853 0.000
0.000 0.000 1.811
2.906 2.906 1.811
0.831 3.737 1.811
2.075 0.831 1.811
3.737 4.981 1.811
4.981 2.075 1.811

***

CrCoSi3 (PBE-GGA, relaxed); formation energy (no corrections) = 0.525 eV per atom; final energy = -6.07 eV per atom; total magnetization = 3.83 μB per formula unit
1.0
4.339 0.000 0.000
0.000 4.339 0.000
0.000 0.000 4.339
Cr Co Si
1 1 3
Cartesian
0.000 0.000 0.000
2.169 2.169 2.169
0.000 2.169 2.169
2.169 0.000 2.169
2.169 2.169 0.000

***

CrCoSi (PBE-GGA, relaxed); formation energy (no corrections) = -0.229 eV per atom; final energy = -7.61 eV per atom; total magnetization = 1.11 μB per formula unit
1.0
-1.326 1.326 4.751
1.326 -1.326 4.751
1.326 1.326 -4.751
Cr Co Si
1 1 1
Cartesian
0.000 0.000 0.000
0.000 0.000 3.068
0.000 0.000 6.401

***

CrCo2Si (PBE-GGA, relaxed); formation energy (no corrections) = -0.166 eV per atom; final energy = -7.48 eV per atom; total magnetization = 0.27 μB per formula unit
1.0
0.000 2.795 2.795
2.795 0.000 2.795
2.795 2.795 0.000
Cr Co Si
1 2 1
Cartesian
0.000 0.000 0.000
1.397 1.397 1.397
2.795 2.795 2.795
4.192 4.192 4.192

***

CrCo2Si (PBE-GGA, relaxed); formation energy (no corrections) = -0.150 eV per atom; final energy = -7.46 eV per atom; total magnetization = 0.95 μB per formula unit
1.0
2.663 0.000 0.000
0.000 2.663 0.000
0.000 0.000 6.200
Cr Co Si
1 2 1
Cartesian
0.000 0.000 0.000
0.000 0.000 2.972
1.332 1.332 4.681
1.332 1.332 1.636

***

CrCo2Si (PBE-GGA, relaxed); formation energy (no corrections) = -0.205 eV per atom; final energy = -7.52 eV per atom; total magnetization = 0.00 μB per formula unit
1.0
2.564 0.000 0.000
0.000 3.420 0.000
0.000 0.000 4.970
Cr Co Si
1 2 1
Cartesian
0.000 0.000 0.000
1.282 1.710 1.240
1.282 1.710 3.730
0.000 0.000 2.485

***

Sm2Cr2Co15 (PBE-GGA, relaxed); formation energy = -43 meV/atom; final energy = -7.16 eV per atom; total magnetization = 19.96 μB per formula unit
1.0
4.179 2.413 4.047
-4.179 2.413 4.047
0.000 -4.825 4.047
Sm Cr Co
2 2 15
Cartesian
0.000 0.000 1.885
0.000 0.000 10.257
0.000 0.000 5.035
0.000 0.000 7.107
-2.089 -1.206 4.047
0.000 -2.374 3.902
-2.056 1.187 3.902
-1.224 -2.120 6.071
-2.448 0.000 6.071
-2.056 -1.187 8.240
-2.089 1.206 8.095
1.224 -2.120 6.071
0.000 2.413 4.047
-1.224 2.120 6.071
2.056 1.187 3.902
2.448 0.000 6.071
1.224 2.120 6.071
2.056 -1.187 8.240
0.000 2.374 8.240

***

CrCoSn3 (PBE-GGA, relaxed); formation energy = 449 meV/atom; final energy = -5.30 eV per atom; ΔE to the lowest computed polymorph = 0 meV/atom; total magnetization = 3.96 μB per formula unit
1.0
4.905 0.000 0.000
0.000 4.905 0.000
0.000 0.000 4.905
Cr Co Sn
1 1 3
Cartesian
0.000 0.000 0.000
2.453 2.453 2.453
0.000 2.453 2.453
2.453 0.000 2.453
2.453 2.453 0.000

***

CrCo2Sn (PBE-GGA, relaxed); formation energy = 651 meV/atom; final energy = -6.31 eV per atom; total magnetization = 0.00 μB per formula unit
1.0
-1.938 1.938 7.964
1.938 -1.938 7.964
1.938 1.938 -7.964
Cr Co Sn
2 4 2
Cartesian
0.000 0.000 0.000
0.000 1.938 3.982
2.908 0.765 -1.991
0.765 0.969 1.991
-0.969 1.173 5.973
1.173 0.969 9.955
1.938 0.000 3.982
0.000 0.000 7.964

***

CrCo2Sn2 (PBE-GGA, relaxed); formation energy = 657 meV/atom; final energy = -5.71 eV per atom; ΔE to the lowest computed polymorph = 464 meV/atom; total magnetization = 0.00 μB per formula unit
1.0
-2.467 2.467 3.460
2.467 -2.467 3.460
2.467 2.467 -3.460
Cr Co Sn
1 2 2
Cartesian
0.000 0.000 0.000
0.000 0.000 2.300
0.000 0.000 4.620
2.467 0.000 1.730
0.000 2.467 1.730

***

CrCo3Sn (PBE-GGA, relaxed); formation energy = 958 meV/atom; final energy = -6.03 eV per atom; ΔE to the lowest computed polymorph = 0 meV/atom; total magnetization = 1.09 μB per formula unit
1.0
4.232 0.000 0.000
0.000 4.232 0.000
0.000 0.000 4.232
Cr Co Sn
1 3 1
Cartesian
0.000 0.000 0.000
0.000 0.000 2.116
0.000 2.116 0.000
2.116 0.000 0.000
2.116 2.116 2.116

***

CrCo2Sn2 (PBE-GGA, relaxed); formation energy = 193 meV/atom; final energy = -6.18 eV per atom; ΔE to the lowest computed polymorph = 0 meV/atom; total magnetization = 4.90 μB per formula unit
1.0
7.186 0.000 0.000
0.000 7.186 0.000
0.000 0.000 3.085
Cr Co Sn
2 4 4
Cartesian
0.000 0.000 0.000
3.593 3.593 0.000
0.937 2.656 0.000
2.656 6.249 0.000
4.530 0.937 0.000
6.249 4.530 0.000
1.202 4.795 1.543
2.391 1.202 1.543
4.795 5.984 1.543
5.984 2.391 1.543

***

CrCo2Sn (PBE-GGA, relaxed); formation energy = 112 meV/atom; final energy = -6.85 eV per atom; total magnetization = 4.03 μB per formula unit
1.0
4.145 0.000 0.000
0.000 4.145 0.000
0.000 0.000 3.140
Cr Co Sn
1 2 1
Cartesian
0.000 0.000 0.000
0.000 2.072 1.570
2.072 0.000 1.570
2.072 2.072 0.000

***

CrCoSn2 (PBE-GGA, relaxed); formation energy = 287 meV/atom; final energy = -5.90 eV per atom; ΔE to the lowest computed polymorph = 0 meV/atom; total magnetization = 4.22 μB per formula unit
1.0
0.000 3.258 3.258
3.258 0.000 3.258
3.258 3.258 0.000
Cr Co Sn
1 1 2
Cartesian
0.000 0.000 0.000
3.258 3.258 3.258
1.629 1.629 1.629
4.887 4.887 4.887

***

CrCoSn2 (PBE-GGA, relaxed); formation energy = 500 meV/atom; final energy = -5.68 eV per atom; ΔE to the lowest computed polymorph = 213 meV/atom; total magnetization = 3.47 μB per formula unit
1.0
-3.619 3.619 2.961
3.619 -3.619 2.961
3.619 3.619 -2.961
Cr Co Sn
2 2 4
Cartesian
0.000 0.000 0.000
0.000 3.619 1.480
3.619 0.000 1.480
0.000 0.000 2.961
1.809 2.045 -0.740
5.193 1.809 0.740
1.809 1.574 2.220
-1.574 1.809 3.701

***

TlCrCo2Sn (PBE-GGA, relaxed); formation energy = 1869 meV/atom; final energy = -4.17 eV per atom; total magnetization = 3.18 μB per formula unit
1.0
4.665 0.000 0.000
0.000 4.665 0.000
0.000 0.000 5.541
Tl Cr Co Sn
1 1 2 1
Cartesian
0.000 0.000 0.000
2.333 2.333 0.000
0.000 2.333 2.770
2.333 0.000 2.770
0.000 0.000 2.770

***

Sr3CrCo (PBE-GGA, relaxed); formation energy = 635 meV/atom; final energy = -3.72 eV per atom; total magnetization = 5.57 μB per formula unit
1.0
5.695 0.000 0.000
0.000 5.695 0.000
0.000 0.000 5.695
Sr Cr Co
3 1 1
Cartesian
0.000 0.000 2.847
0.000 2.847 0.000
2.847 0.000 0.000
2.847 2.847 2.847
0.000 0.000 0.000

***

SrCrCo4 (PBE-GGA, relaxed); formation energy = 464 meV/atom; final energy = -6.16 eV per atom; total magnetization = 10.15 μB per formula unit
1.0
0.000 3.564 3.564
3.564 0.000 3.564
3.564 3.564 0.000
Sr Cr Co
1 1 4
Cartesian
0.000 0.000 0.000
1.782 1.782 1.782
4.445 2.684 2.684
2.684 4.445 2.684
2.684 2.684 4.445
4.445 4.445 4.445

***

SrCr2Co (PBE-GGA, relaxed); formation energy = 1130 meV/atom; final energy = -5.88 eV per atom; ΔE to the lowest computed polymorph = 640 meV/atom; total magnetization = 8.87 μB per formula unit
1.0
-2.394 2.394 3.397
2.394 -2.394 3.397
2.394 2.394 -3.397
Sr Cr Co
1 2 1
Cartesian
0.000 0.000 0.000
0.000 0.000 3.397
0.000 2.394 1.699
2.394 0.000 1.699

***

SrCr2Co (PBE-GGA, relaxed); formation energy = 605 meV/atom; final energy = -6.40 eV per atom; ΔE to the lowest computed polymorph = 115 meV/atom; total magnetization = 2.68 μB per formula unit
1.0
3.070 0.000 0.000
0.000 3.070 0.000
0.000 0.000 7.440
Sr Cr Co
1 2 1
Cartesian
0.000 0.000 0.000
0.000 0.000 3.514
1.535 1.535 4.797
1.535 1.535 2.294

***

SrCr2Co (PBE-GGA, relaxed); formation energy = 1254 meV/atom; final energy = -5.75 eV per atom; ΔE to the lowest computed polymorph = 764 meV/atom; total magnetization = 3.14 μB per formula unit
1.0
2.611 -4.886 0.000
2.611 4.886 0.000
-0.886 0.000 2.501
Sr Cr Co
1 2 1
Cartesian
0.000 0.000 0.000
0.863 2.443 1.250
0.863 -2.443 1.250
2.611 0.000 0.000

***

SrCr2Co (PBE-GGA, relaxed); formation energy = 922 meV/atom; final energy = -6.09 eV per atom; ΔE to the lowest computed polymorph = 432 meV/atom; total magnetization = 0.02 μB per formula unit
1.0
-1.595 2.555 4.632
1.595 -2.555 4.632
1.595 2.555 -4.632
Sr Cr Co
1 2 1
Cartesian
0.000 0.000 0.000
0.000 0.000 4.233
0.000 2.555 1.863
1.595 0.000 2.496